1.
Entry from Alexandria via LeMat-Bulk: a crystal of MnSbRu relaxed with PBEsol (meta-GGA SCAN).

Cell and atoms, written as POSCAR:
```
MnSbRu
1.0
-0.888 -0.347 -3.230
-1.667 -2.825 0.762
-2.206 3.834 1.950
Mn Ru Sb
1 1 1
direct
0.004 0.004 0.009
0.664 0.664 0.328
0.331 0.331 0.663
```

Its density of states at the Fermi level is 1.98 states/eV per cell. The formation energy without anion corrections is -1.56 kcal/mol of atoms. The calculation puts the total energy at -90.5 eV/cell.

2.
Entry from Alexandria via LeMat-Bulk: a crystal of Mn2SbRu relaxed with PBEsol (meta-GGA SCAN).

Cell and atoms, written as POSCAR:
```
Mn2SbRu
1.0
-2.306 -0.144 -1.869
-2.584 -1.149 0.914
-4.082 7.032 2.133
Mn Ru Sb
2 1 1
direct
0.243 0.243 0.270
0.757 0.757 0.730
0.500 0.500 0.500
0.000 0.000 0.000
```

Its density of states at the Fermi level is 2.64 states/eV per cell. The formation energy without anion corrections is 4.21 kcal/mol of atoms. The calculation puts the total energy at -107.9 eV/cell.

3.
Entry from Alexandria via LeMat-Bulk: a crystal of MnSbRu relaxed with PBEsol (meta-GGA SCAN).

Cell and atoms, written as POSCAR:
```
MnSbRu
1.0
-0.713 -2.594 1.294
4.040 -1.458 -0.697
-0.948 2.102 3.691
Mn Ru Sb
1 1 1
direct
0.001 0.000 0.000
0.505 0.667 0.333
0.494 0.333 0.667
```

Its density of states at the Fermi level is 2.00 states/eV per cell. The formation energy without anion corrections is -0.63 kcal/mol of atoms. The calculation puts the total energy at -90.4 eV/cell.

4.
Entry from Alexandria via LeMat-Bulk: a crystal of MnSbRu3 relaxed with PBEsol (meta-GGA SCAN).

Cell and atoms, written as POSCAR:
```
MnSbRu3
1.0
-0.932 1.832 -4.249
-3.228 -3.362 -0.741
-3.314 2.760 1.917
Sb Mn Ru
1 1 3
direct
0.000 0.000 0.000
0.500 0.500 0.500
0.000 0.500 0.000
0.000 0.000 0.500
0.500 0.000 0.000
```

Its density of states at the Fermi level is 2.21 states/eV per cell. The formation energy without anion corrections is 34.45 kcal/mol of atoms. The calculation puts the total energy at -152.5 eV/cell.

5.
Entry from Alexandria via LeMat-Bulk: a crystal of MnSb2Ru relaxed with PBEsol (meta-GGA SCAN).

Cell and atoms, written as POSCAR:
```
MnSb2Ru
1.0
-2.636 -0.410 1.528
0.609 -3.997 -0.024
4.005 2.628 4.521
Mn Ru Sb
1 1 2
direct
0.561 0.561 0.123
0.272 0.772 0.544
0.955 0.955 0.910
0.711 0.211 0.422
```

Its density of states at the Fermi level is 1.81 states/eV per cell. The formation energy without anion corrections is -1.48 kcal/mol of atoms. For the excess energy over the best structure of this formula in the dataset, the calculation gives 0.000 eV/atom. The calculation puts the total energy at -127.9 eV/cell.

6.
Entry from Alexandria via LeMat-Bulk: a crystal of Mn2SbRu relaxed with PBEsol (meta-GGA SCAN).

Cell and atoms, written as POSCAR:
```
Mn2SbRu
1.0
-1.527 3.247 1.543
-1.920 0.680 -3.333
-1.067 -3.857 2.116
Mn Ru Sb
2 1 1
direct
0.250 0.750 0.500
0.500 0.500 0.000
0.750 0.250 0.500
0.000 0.000 0.000
```

Its density of states at the Fermi level is 2.96 states/eV per cell. The formation energy without anion corrections is -1.20 kcal/mol of atoms. The calculation puts the total energy at -108.8 eV/cell.

7.
Entry from Alexandria via LeMat-Bulk: a crystal of MnSb2TeRu relaxed with PBEsol (meta-GGA SCAN).

Cell and atoms, written as POSCAR:
```
MnSb2TeRu
1.0
4.908 0.000 0.000
0.000 4.908 0.000
0.000 0.000 5.611
Sb Te Mn Ru
2 1 1 1
direct
0.000 0.500 0.000
0.500 0.000 0.000
0.000 0.000 0.500
0.500 0.500 0.500
0.000 0.000 0.000
```

Its density of states at the Fermi level is 2.14 states/eV per cell. The formation energy without anion corrections is 11.58 kcal/mol of atoms. The calculation puts the total energy at -162.3 eV/cell.

8.
Entry from Alexandria via LeMat-Bulk: a crystal of Sc2MnRu relaxed with PBEsol (meta-GGA SCAN).

Cell and atoms, written as POSCAR:
```
Sc2MnRu
1.0
3.182 0.000 0.000
0.000 3.182 0.000
0.000 0.000 6.425
Sc Ru Mn
2 1 1
direct
0.000 0.000 0.739
0.000 0.000 0.261
0.500 0.500 0.500
0.500 0.500 0.000
```

Its density of states at the Fermi level is 2.19 states/eV per cell. The calculation puts the formation energy from the elements at -0.44 eV/atom. The calculation puts the total energy at -83.3 eV/cell.

9.
Entry from Alexandria via LeMat-Bulk: a crystal of Sc2MnRu relaxed with PBEsol (meta-GGA SCAN).

Cell and atoms, written as POSCAR:
```
Sc2MnRu
1.0
-0.061 2.506 1.764
-0.121 -2.535 3.598
4.762 0.016 -2.522
Mn Ru Sc
1 1 2
direct
0.520 0.520 0.040
0.231 0.731 0.463
0.986 0.986 0.971
0.763 0.263 0.526
```

Its density of states at the Fermi level is 3.36 states/eV per cell. The calculation puts the formation energy from the elements at -0.28 eV/atom. The calculation puts the total energy at -82.7 eV/cell.

10.
Entry from Alexandria via LeMat-Bulk: a crystal of Sc2MnRu relaxed with PBEsol (meta-GGA SCAN).

Cell and atoms, written as POSCAR:
```
Sc2MnRu
1.0
-2.365 0.123 -3.831
-0.133 -3.617 -2.682
-3.802 -2.386 -0.377
Mn Ru Sc
1 1 2
direct
0.500 0.500 0.500
0.250 0.250 0.250
0.000 0.000 0.000
0.750 0.750 0.750
```

Its density of states at the Fermi level is 4.28 states/eV per cell. The calculation puts the formation energy from the elements at -0.19 eV/atom. The calculation puts the total energy at -82.3 eV/cell.

11.
Entry from Alexandria via LeMat-Bulk: a crystal of ScMnRu relaxed with PBEsol (meta-GGA SCAN).

Cell and atoms, written as POSCAR:
```
ScMnRu
1.0
2.947 0.000 0.000
0.000 2.947 0.000
-1.474 -1.474 5.065
Mn Ru Sc
1 1 1
direct
0.018 0.018 0.036
0.647 0.647 0.293
0.335 0.335 0.671
```

Its density of states at the Fermi level is 3.18 states/eV per cell. The calculation puts the formation energy from the elements at -0.15 eV/atom. The calculation puts the total energy at -67.8 eV/cell.

12.
Entry from Alexandria via LeMat-Bulk: a crystal of ScTiMn2Ru relaxed with PBEsol (meta-GGA SCAN).

Cell and atoms, written as POSCAR:
```
ScTiMn2Ru
1.0
4.314 0.000 0.000
0.000 4.314 0.000
0.000 0.000 4.518
Sc Ru Mn Ti
1 1 2 1
direct
0.500 0.500 0.500
0.000 0.000 0.500
0.000 0.500 0.000
0.500 0.000 0.000
0.000 0.000 0.000
```

Its density of states at the Fermi level is 2.27 states/eV per cell. The calculation puts the formation energy from the elements at 0.44 eV/atom. The calculation puts the total energy at -99.4 eV/cell.

13.
Entry from Alexandria via LeMat-Bulk: a crystal of Mn3RuSe relaxed with PBEsol (meta-GGA SCAN).

Cell and atoms, written as POSCAR:
```
Mn3RuSe
1.0
-0.570 -4.097 1.487
3.337 0.554 2.806
-2.803 1.493 3.039
Ru Mn Se
1 3 1
direct
0.500 0.500 0.500
0.000 0.500 0.000
0.000 0.000 0.500
0.500 0.000 0.000
0.000 0.000 0.000
```

Its density of states at the Fermi level is 3.00 states/eV per cell. The formation energy without anion corrections is 14.25 kcal/mol of atoms. The calculation puts the total energy at -106.6 eV/cell.

14.
Entry from Alexandria via LeMat-Bulk: a crystal of MnRu2Se relaxed with PBEsol (meta-GGA SCAN).

Cell and atoms, written as POSCAR:
```
MnRu2Se
1.0
2.853 0.000 0.000
0.000 2.853 0.000
0.000 0.000 6.573
Mn Ru Se
1 2 1
direct
0.500 0.500 0.733
0.000 0.000 0.998
0.500 0.500 0.252
0.000 0.000 0.517
```

Its density of states at the Fermi level is 2.94 states/eV per cell. The formation energy without anion corrections is 4.07 kcal/mol of atoms. The calculation puts the total energy at -107.3 eV/cell.

15.
Entry from Alexandria via LeMat-Bulk: a crystal of MnRuSe2 relaxed with PBEsol (meta-GGA SCAN).

Cell and atoms, written as POSCAR:
```
MnRuSe2
1.0
3.738 0.000 0.000
0.000 3.738 0.000
0.000 0.000 5.592
Ru Mn Se
1 1 2
direct
0.000 0.000 0.500
0.500 0.500 0.500
0.500 0.000 0.772
0.000 0.500 0.228
```

Its density of states at the Fermi level is 1.57 states/eV per cell. The formation energy without anion corrections is -9.51 kcal/mol of atoms. For the excess energy over the best structure of this formula in the dataset, the calculation gives 0.000 eV/atom. The calculation puts the total energy at -94.9 eV/cell.